1.
# GGA-PBE Li2CdGa2, optimized geometry
# Crystal system: tetragonal
# Energy above the lowest structure with this stoichiometry, kJ/mol of formula units: 41
# Energy relative to the elements, eV per atom: -0.130
data_Li2CdGa2
_chemical_formula_sum 'Li4 Cd2 Ga4'
_cell_length_a 7.275
_cell_length_b 7.275
_cell_length_c 3.331
_cell_angle_alpha 90.00
_cell_angle_beta 90.00
_cell_angle_gamma 90.00
_space_group_name_H-M_alt 'P 4/m b m'
_space_group_IT_number 127
_space_group_name_Hall '-P 4 2ab'
loop_
_atom_site_label
_atom_site_type_symbol
_atom_site_fract_x
_atom_site_fract_y
_atom_site_fract_z
Li1 Li 0.145 0.355 0.000
Cd1 Cd 0.000 0.000 0.000
Ga1 Ga 0.150 0.650 0.500

---

2.
# GGA-PBE Mg2Sc2MnS6, optimized geometry
# Crystal system: monoclinic
# Total energy, eV/atom: -6.0016
data_Mg2Sc2MnS6
_chemical_formula_sum 'Mg4 Sc4 Mn2 S12'
_cell_length_a 6.350
_cell_length_b 11.193
_cell_length_c 6.396
_cell_angle_alpha 90.00
_cell_angle_beta 108.93
_cell_angle_gamma 90.00
_space_group_name_H-M_alt 'C 1 2/m 1'
_space_group_IT_number 12
loop_
_space_group_symop_operation_xyz
'x,y,z'
'-x,-y,-z'
'-x,y,-z'
'x,-y,z'
'x+1/2,y+1/2,z'
'-x+1/2,-y+1/2,-z'
'-x+1/2,y+1/2,-z'
'x+1/2,-y+1/2,z'
loop_
_atom_site_label
_atom_site_type_symbol
_atom_site_fract_x
_atom_site_fract_y
_atom_site_fract_z
Mg1 Mg 0.000 0.167 0.000
Sc1 Sc 0.000 0.336 0.500
Mn1 Mn 0.000 0.000 0.500
S1 S 0.241 0.000 0.260
S2 S 0.245 0.173 0.745

---

3.
# GGA-PBE Tl2MoRu, optimized geometry
# Crystal system: monoclinic
# Energy above the lowest structure with this stoichiometry, kJ/mol of formula units: 171
# Energy relative to the elements, eV per atom: 0.778
data_Tl2MoRu
_chemical_formula_sum 'Tl4 Mo2 Ru2'
_cell_length_a 9.263
_cell_length_b 3.105
_cell_length_c 5.369
_cell_angle_alpha 90.00
_cell_angle_beta 101.44
_cell_angle_gamma 90.00
_space_group_name_H-M_alt 'C 1 2/m 1'
_space_group_IT_number 12
loop_
_space_group_symop_operation_xyz
'x,y,z'
'-x,-y,-z'
'-x,y,-z'
'x,-y,z'
'x+1/2,y+1/2,z'
'-x+1/2,-y+1/2,-z'
'-x+1/2,y+1/2,-z'
'x+1/2,-y+1/2,z'
loop_
_atom_site_label
_atom_site_type_symbol
_atom_site_fract_x
_atom_site_fract_y
_atom_site_fract_z
Tl1 Tl 0.247 0.000 0.245
Mo1 Mo 0.000 0.000 0.500
Ru1 Ru 0.000 0.500 0.000